A plane-wave DFT calculation with PBE with a Hubbard U was carried out for a geometry-optimized Hf2MoWO structure.

Unit cell a=5.1498 b=4.8140 c=5.1498 alpha=90.00 beta=90.00 gamma=90.00
Element x y z (fractional)
Mo: 0.0000 0.5000 0.0000
Hf: 0.0000 0.0000 0.5000
Hf: 0.5000 0.0000 0.0000
O: 0.5000 0.5000 0.5000
W: 0.0000 0.0000 0.0000

Total magnetic moment, μB per formula unit: 0.820
Calculated density, g cm⁻³: 8.49
DFT total energy, eV for the cell shown: -29.501